This record from Alexandria describes CaCoO2 after structural relaxation. The functional is PBE+U.

a b c (Å): 3.4522 3.4522 17.6322
angles (deg): 90.00 90.00 120.00
Element x y z (fractional)
Ca 0.0000 0.0000 0.0000
Ca 0.3333 0.6667 0.6667
Ca 0.6667 0.3333 0.3333
Co 0.0000 0.0000 0.5000
Co 0.3333 0.6667 0.1667
Co 0.6667 0.3333 0.8333
O 0.0000 0.0000 0.4014
O 0.0000 0.0000 0.5986
O 0.3333 0.6667 0.0680
O 0.3333 0.6667 0.2653
O 0.6667 0.3333 0.7347
O 0.6667 0.3333 0.9320

Calculated values
* energy: -24.1 eV per formula unit